Tm6C4Se after structural relaxation, computed with GGA-PBE.

Cell: 3.603 6.269 18.375 Å, 90.00 90.00 106.70°
Element x y z (fractional)
Tm: 0.336 0.671 0.250
Tm: 0.776 0.552 0.077
Tm: 0.664 0.329 0.750
Tm: 0.965 0.930 0.850
Tm: 0.224 0.448 0.577
Se: 0.659 0.318 0.250
Tm: 0.035 0.070 0.350
Se: 0.341 0.682 0.750
Tm: 0.500 0.000 0.500
Tm: 0.965 0.930 0.650
Tm: 0.500 0.000 0.000
C: 0.864 0.727 0.544
C: 0.592 0.184 0.869
C: 0.592 0.184 0.631
Tm: 0.224 0.448 0.923
Tm: 0.776 0.552 0.423
C: 0.408 0.816 0.131
Tm: 0.035 0.070 0.150
C: 0.136 0.273 0.044
C: 0.136 0.273 0.456
C: 0.864 0.727 0.956
C: 0.408 0.816 0.369

SG   Cmcm (63)
Formation energy from raw total energies   -622 meV/atom
Volume   18.1 Å³ per atom
ρ   9528 kg/m³